Entry 1:
# PBE Tb6TeRh2Se3, optimized geometry
data_Tb6TeRh2Se3
_space_group_name_H-M_alt 'C 1 2/m 1'
_space_group_IT_number 12
_space_group_name_Hall '-C 2y'
_cell_length_a 18.275
_cell_length_b 4.043
_cell_length_c 8.580
_cell_angle_alpha 90.00
_cell_angle_beta 105.74
_cell_angle_gamma 90.00
loop_
_atom_site_label
_atom_site_type_symbol
_atom_site_fract_x
_atom_site_fract_y
_atom_site_fract_z
Tb1 Tb 0.014 0.000 0.273
Tb2 Tb 0.172 0.500 0.580
Tb3 Tb 0.177 0.500 0.122
Te1 Te 0.000 0.500 0.000
Rh1 Rh 0.172 0.000 0.348
Se1 Se 0.000 0.500 0.500
Se2 Se 0.158 0.000 0.845
# Uncorrected formation energy (meV per atom): -1360

---

Entry 2:
# PBE Tb6Te3Rh2Se, optimized geometry
data_Tb6Te3Rh2Se
_space_group_name_H-M_alt 'C 1 2/m 1'
_space_group_IT_number 12
_space_group_name_Hall '-C 2y'
_cell_length_a 7.231
_cell_length_b 12.542
_cell_length_c 7.621
_cell_angle_alpha 90.00
_cell_angle_beta 108.76
_cell_angle_gamma 90.00
loop_
_atom_site_label
_atom_site_type_symbol
_atom_site_fract_x
_atom_site_fract_y
_atom_site_fract_z
Tb1 Tb 0.219 0.000 0.212
Tb2 Tb 0.245 0.324 0.214
Te1 Te 0.000 0.000 0.500
Te2 Te 0.000 0.339 0.500
Rh1 Rh 0.000 0.168 0.000
Se1 Se 0.000 0.500 0.000
# Uncorrected formation energy (meV per atom): -1238

---

Entry 3:
# PBE Tc2RhSe2, optimized geometry
data_Tc2RhSe2
_space_group_name_H-M_alt 'I 4/m m m'
_space_group_IT_number 139
_space_group_name_Hall '-I 4 2'
_cell_length_a 4.273
_cell_length_b 4.273
_cell_length_c 9.465
_cell_angle_alpha 90.00
_cell_angle_beta 90.00
_cell_angle_gamma 90.00
loop_
_atom_site_label
_atom_site_type_symbol
_atom_site_fract_x
_atom_site_fract_y
_atom_site_fract_z
Tc1 Tc 0.000 0.500 0.250
Rh1 Rh 0.000 0.000 0.000
Se1 Se 0.000 0.000 0.369
# Uncorrected formation energy (meV per atom): 377

---

Entry 4:
# PBE TcRhSe2, optimized geometry
data_TcRhSe2
_space_group_name_H-M_alt 'F m -3 m'
_space_group_IT_number 225
_space_group_name_Hall '-F 4 2 3'
_cell_length_a 6.305
_cell_length_b 6.305
_cell_length_c 6.305
_cell_angle_alpha 90.00
_cell_angle_beta 90.00
_cell_angle_gamma 90.00
loop_
_atom_site_label
_atom_site_type_symbol
_atom_site_fract_x
_atom_site_fract_y
_atom_site_fract_z
Tc1 Tc 0.000 0.000 0.000
Rh1 Rh 0.000 0.000 0.500
Se1 Se 0.250 0.250 0.250
# Uncorrected formation energy (meV per atom): 160
# Energy above the lowest structure with this stoichiometry (meV/atom): 268

---

Entry 5:
# PBE TcRhSe2, optimized geometry
data_TcRhSe2
_space_group_name_H-M_alt 'P 1 2/m 1'
_space_group_IT_number 10
_space_group_name_Hall '-P 2y'
_cell_length_a 2.716
_cell_length_b 4.129
_cell_length_c 6.123
_cell_angle_alpha 90.00
_cell_angle_beta 90.13
_cell_angle_gamma 90.00
loop_
_atom_site_label
_atom_site_type_symbol
_atom_site_fract_x
_atom_site_fract_y
_atom_site_fract_z
Tc1 Tc 0.000 0.000 0.000
Rh1 Rh 0.000 0.000 0.500
Se1 Se 0.001 0.500 0.751
# Uncorrected formation energy (meV per atom): 344
# Energy above the lowest structure with this stoichiometry (meV/atom): 452

---

Entry 6:
# PBE TcRhSe2, optimized geometry
data_TcRhSe2
_space_group_name_H-M_alt 'R -3 m'
_space_group_IT_number 166
_space_group_name_Hall '-R 3 2"'
_cell_length_a 3.1285
_cell_length_b 3.1285
_cell_length_c 24.8920
_cell_angle_alpha 90.00
_cell_angle_beta 90.00
_cell_angle_gamma 120.00
loop_
_atom_site_label
_atom_site_type_symbol
_atom_site_fract_x
_atom_site_fract_y
_atom_site_fract_z
Tc1 Tc 0.0000 0.0000 0.0000
Rh1 Rh 0.0000 0.0000 0.5000
Se1 Se 0.0000 0.0000 0.4045
# Uncorrected formation energy (meV per atom): 37
# Energy above the lowest structure with this stoichiometry (meV/atom): 145

---

Entry 7:
# PBE TcRhSe2, optimized geometry
data_TcRhSe2
_space_group_name_H-M_alt 'C 1 2/m 1'
_space_group_IT_number 12
_space_group_name_Hall '-C 2y'
_cell_length_a 7.998
_cell_length_b 3.098
_cell_length_c 5.308
_cell_angle_alpha 90.00
_cell_angle_beta 101.36
_cell_angle_gamma 90.00
loop_
_atom_site_label
_atom_site_type_symbol
_atom_site_fract_x
_atom_site_fract_y
_atom_site_fract_z
Tc1 Tc 0.000 0.000 0.000
Rh1 Rh 0.000 0.500 0.500
Se1 Se 0.232 0.500 0.239
# Uncorrected formation energy (meV per atom): 64
# Energy above the lowest structure with this stoichiometry (meV/atom): 172

---

Entry 8:
# PBE TcRhSe2, optimized geometry
data_TcRhSe2
_space_group_name_H-M_alt 'R -3 m'
_space_group_IT_number 166
_space_group_name_Hall '-R 3 2"'
_cell_length_a 3.1084
_cell_length_b 3.1084
_cell_length_c 23.0134
_cell_angle_alpha 90.00
_cell_angle_beta 90.00
_cell_angle_gamma 120.00
loop_
_atom_site_label
_atom_site_type_symbol
_atom_site_fract_x
_atom_site_fract_y
_atom_site_fract_z
Tc1 Tc 0.0000 0.0000 0.0000
Rh1 Rh 0.0000 0.0000 0.5000
Se1 Se 0.0000 0.0000 0.2529
# Uncorrected formation energy (meV per atom): 25
# Energy above the lowest structure with this stoichiometry (meV/atom): 133